Material: NdPaVO6
Method: DFT, GGA+U
State: relaxed

```
data_NdPaVO6
_chemical_formula_sum 'Nd1 Pa1 V1 O6'
_symmetry_space_group_name_H-M 'P 1'
_symmetry_Int_Tables_number 1
_cell_length_a 4.815
_cell_length_b 5.484
_cell_length_c 5.484
_cell_angle_alpha 120.00
_cell_angle_beta 90.00
_cell_angle_gamma 90.00
loop_
_symmetry_equiv_pos_as_xyz
'x,y,z'
loop_
_atom_site_label
_atom_site_fract_x
_atom_site_fract_y
_atom_site_fract_z
O1 0.264 0.031 0.717
O2 0.264 0.686 0.969
O3 0.736 0.686 0.717
O4 0.264 0.283 0.314
O5 0.736 0.031 0.314
O6 0.736 0.283 0.969
Pa1 0.000 0.333 0.667
V1 0.500 0.000 0.000
Nd1 0.500 0.667 0.333
```

SG = P312
V = 13.9 A^3/atom
final energy = -8.56 eV/atom
M_tot = 1.000 μB/cell
mass density = 6.915 g/cm3